# MgCd2Br | the Alexandria database | PBE | relaxed
data_MgCd2Br
_cell_length_a 7.563
_cell_length_b 7.563
_cell_length_c 7.563
_cell_angle_alpha 90.00
_cell_angle_beta 90.00
_cell_angle_gamma 90.00
_symmetry_space_group_name_H-M 'F -4 3 m'
_symmetry_Int_Tables_number 216
_symmetry_space_group_name_Hall 'F -4 2 3'
loop_
_atom_site_label
_atom_site_fract_x
_atom_site_fract_y
_atom_site_fract_z
Mg1 0.000 0.000 0.000
Cd1 0.000 0.000 0.500
Cd2 0.250 0.250 0.750
Br1 0.250 0.250 0.250
# E_form (uncorrected)	-0.014	eV per atom
# raw total energy	-1.29	eV per atom